The following is a DFT calculation (PBE) of an optimized crystal structure of Tb3ThSc2Se6.

Computed properties:
**Calculated volume**: 23.51 A^3/atom
**Density of states at the Fermi level**: 0.57 states/eV per atom
**Formation energy from raw total energies**: -1.649 eV per atom
**Space group**: C2/m

Structure (CIF):
```
data_Tb3ThSc2Se6
_symmetry_space_group_name_H-M 'P 1'
_symmetry_Int_Tables_number 1
_cell_length_a 9.006
_cell_length_b 9.006
_cell_length_c 8.165
_cell_angle_alpha 101.78
_cell_angle_beta 101.78
_cell_angle_gamma 25.83
loop_
_symmetry_equiv_pos_as_xyz
'x,y,z'
loop_
_atom_site_label
_atom_site_type_symbol
_atom_site_fract_x
_atom_site_fract_y
_atom_site_fract_z
_atom_site_occupancy
Tb1 Tb 0.000 0.000 0.000 1
Tb2 Tb 0.341 0.341 0.667 1
Tb3 Tb 0.659 0.659 0.333 1
Th1 Th 0.000 0.000 0.500 1
Sc1 Sc 0.335 0.335 0.170 1
Sc2 Sc 0.665 0.665 0.830 1
Se1 Se 0.172 0.172 0.075 1
Se2 Se 0.174 0.174 0.600 1
Se3 Se 0.492 0.492 0.236 1
Se4 Se 0.508 0.508 0.764 1
Se5 Se 0.826 0.826 0.400 1
Se6 Se 0.828 0.828 0.925 1
```